[1]
VASP calculation (GGA-PBE) on an optimized crystal structure of Be2PIr.

E = -5.6628 eV per atom
E_form = -0.232 eV per atom

Structure (POSCAR):
```
Be2PIr
1.0
3.840 0.000 0.000
0.000 2.807 -0.003
0.000 0.004 4.102
Ir P Be
1 1 2
Cartesian
0.000 1.757 1.895
1.920 1.758 3.340
0.000 0.354 3.925
1.920 0.352 1.092
```



[2]
VASP calculation (GGA-PBE) on an optimized crystal structure of LiNd4Ho3S8.

formation energy from raw total energies = -1964 meV/atom
E = -6.1975 eV per atom

Structure (POSCAR):
```
LiNd4Ho3S8
1.0
7.891 0.000 0.000
0.000 7.982 0.058
-3.945 -3.941 5.583
S Nd Ho Li
8 4 3 1
Cartesian
0.000 0.116 2.871
3.945 0.116 2.905
3.945 3.924 2.770
5.943 2.112 0.079
0.000 3.924 2.736
-1.997 1.929 5.562
1.997 1.929 5.562
1.948 2.112 0.079
0.000 0.000 0.000
-1.973 -1.971 2.792
3.945 0.000 0.000
1.973 -1.971 2.792
3.945 3.991 0.029
1.973 2.020 2.820
-1.973 2.020 2.820
0.000 3.991 0.029
```



[3]
VASP calculation (GGA-PBE) on an optimized crystal structure of Bi2AuS3.

formation energy from raw total energies = -94 meV/atom
E = -3.9972 eV per atom

Structure (POSCAR):
```
Bi2AuS3
1.0
5.659 0.000 0.000
0.000 9.064 -0.255
-2.829 -2.481 5.769
S Au Bi
6 2 4
Cartesian
2.831 2.668 3.808
-0.001 3.915 1.706
2.826 2.266 -0.064
2.833 6.798 -0.191
2.828 7.200 3.680
0.002 -0.617 1.833
0.006 6.798 -0.191
5.653 2.266 -0.064
2.826 4.493 1.770
0.004 2.090 3.743
-0.004 6.623 3.616
2.833 -0.040 1.898
```



[4]
VASP calculation (GGA-PBE) on an optimized crystal structure of Si2AsOs.

formation energy from raw total energies = 398 meV/atom
E = -6.2834 eV per atom

Structure (POSCAR):
```
Si2AsOs
1.0
6.203 0.022 0.060
-2.426 3.813 -0.052
1.351 0.900 2.442
As Si Os
1 2 1
Cartesian
-0.538 2.356 1.195
3.777 0.461 1.251
0.000 0.000 0.000
1.889 1.918 0.004
```